Entry 1:
Material: RbSr2HgPd
Method: DFT, PBE
State: optimized geometry

abc: 5.9861 5.9861 5.5784
angles: 90.00 90.00 90.00
Space group P4/mmm (No. 123)
Symmetry-distinct sites (fractional):
Rb: 0.0000 0.0000 0.0000 (multiplicity 1)
Sr: 0.0000 0.5000 0.5000 (multiplicity 2)
Hg: 0.5000 0.5000 0.0000 (multiplicity 1)
Pd: 0.5000 0.5000 0.5000 (multiplicity 1)

The total magnetic moment is 0.00 Bohr magnetons per cell.

---

Entry 2:
Material: Pa6MnCo5
Method: DFT, PBE
State: optimized geometry

abc: 6.5892 11.2250 6.5551
angles: 90.00 108.70 90.00
Space group C2/m (No. 12)
Symmetry-distinct sites (fractional):
Pa: 0.2459 0.0000 0.2514 (multiplicity 4)
Pa: 0.2467 0.1647 0.7470 (multiplicity 8)
Mn: 0.0000 0.0000 0.5000 (multiplicity 2)
Co: 0.0000 0.1709 0.0000 (multiplicity 4)
Co: 0.0000 0.3342 0.5000 (multiplicity 4)
Co: 0.0000 0.5000 0.0000 (multiplicity 2)

The total magnetic moment is 0.00 Bohr magnetons per cell.

---

Total energy in eV/atom, matching the order above: -2.20; -8.72